Here is an optimized crystal structure of SrCdGaAu6 from Alexandria. Energies are from PBE.

Computed properties:
Total energy in eV/cell: -54.814
Formation energy in meV per atom: -235
Symmetry: Imma, No. 74
D(E_F) in states/eV per atom: 0.352

a b c (Å): 7.3844 9.7491 8.2091
angles (deg): 126.43 116.73 90.00
Fractional positions:
Au1 0.0240 0.7740 0.0481
Au2 0.0672 0.3841 0.7451
Au3 0.9760 0.2260 0.9519
Au4 0.4375 0.1875 0.8750
Cd1 0.0000 0.0000 0.5000
Au5 0.5625 0.8125 0.1250
Au6 0.9328 0.1391 0.2549
Au7 0.6779 0.3841 0.7451
Sr1 0.2799 0.5299 0.5598
Au8 0.6779 0.8609 0.7451
Au9 0.9328 0.6159 0.2549
Sr2 0.7201 0.4701 0.4402
Ga1 0.5000 0.0000 0.0000
Cd2 0.5000 0.0000 0.5000
Au10 0.3221 0.1391 0.2549
Au11 0.3221 0.6159 0.2549
Ga2 0.5000 0.5000 0.0000
Au12 0.0672 0.8609 0.7451